No. 1
Compound: LaCd2Pt
Source: Alexandria
Functional: meta-GGA SCAN
Structure: PBEsol geometry

Properties
ΔE_f, eV/atom: -0.3770
Volume, Å³/atom: 21.8
Raw total energy, eV per atom: -43.91

abc: 3.431 3.431 7.412
angles: 90.00 90.00 90.00
Element x y z (fractional)
Cd 0.000 0.000 0.695
Cd 0.000 0.000 0.305
La 0.500 0.500 0.000
Pt 0.500 0.500 0.500



No. 2
Compound: CrSiOs
Source: Alexandria
Functional: meta-GGA SCAN
Structure: PBEsol geometry

Properties
Volume, Å³/atom: 12.1
ΔE_f (raw), eV per formula unit: -0.814
Raw total energy, eV per atom: -33.70

abc: 2.831 2.831 4.958
angles: 106.59 106.59 90.00
Element x y z (fractional)
Os 0.670 0.670 0.341
Si 0.338 0.338 0.676
Cr 0.991 0.991 0.983



No. 3
Compound: Zn3Ag
Source: Alexandria
Functional: meta-GGA SCAN
Structure: PBEsol geometry

Properties
ΔE_f, eV/atom: 0.0120
Volume, Å³/atom: 14.5
Raw total energy, eV per atom: -17.97

abc: 3.869 3.869 3.869
angles: 90.00 90.00 90.00
Element x y z (fractional)
Zn 0.500 0.000 0.500
Ag 0.000 0.000 0.000
Zn 0.500 0.500 0.000
Zn 0.000 0.500 0.500



No. 4
Compound: Al2Te3
Source: Alexandria
Functional: meta-GGA SCAN
Structure: PBEsol geometry

Properties
Volume, Å³/atom: 27.1
ΔE_f (raw), eV per formula unit: -1.864
Raw total energy, eV per atom: -25.82

abc: 3.978 3.978 9.893
angles: 90.00 90.00 120.00
Element x y z (fractional)
Te 0.333 0.667 0.329
Te 0.667 0.333 0.671
Al 0.667 0.333 0.188
Al 0.333 0.667 0.812
Te 0.000 0.000 0.000



No. 5
Compound: KRbY2Se
Source: Alexandria
Functional: meta-GGA SCAN
Structure: PBEsol geometry

Properties
Volume, Å³/atom: 34.5
ΔE_f (raw), eV per formula unit: 6.082
Raw total energy, eV per atom: -19.75

abc: 5.486 5.486 5.732
angles: 90.00 90.00 90.00
Site moments in Bohr magnetons follow the coordinates.
Element x y z (fractional)
Rb 0.000 0.000 0.000  -0.08
Y 0.000 0.500 0.000  -0.25
Se 0.500 0.500 0.500  -0.01
Y 0.500 0.000 0.000  -0.25
K 0.000 0.000 0.500  -0.02



No. 6
Compound: LiIr2F
Source: Alexandria
Functional: meta-GGA SCAN
Structure: PBEsol geometry

Properties
Volume, Å³/atom: 11.8
ΔE_f (raw), eV per formula unit: 2.508
Raw total energy, eV per atom: -36.40

abc: 4.062 4.062 4.062
angles: 60.00 60.00 60.00
Site moments in Bohr magnetons follow the coordinates.
Element x y z (fractional)
Li 0.000 0.000 0.000  -0.03
F 0.500 0.500 0.500  0.16
Ir 0.750 0.750 0.750  0.99
Ir 0.250 0.250 0.250  0.99



No. 7
Compound: Nb3TeI7
Source: Alexandria
Functional: meta-GGA SCAN
Structure: PBEsol geometry

Properties
Volume, Å³/atom: 31.1
ΔE_f (raw), eV per formula unit: -6.372
Raw total energy, eV per atom: -36.38

abc: 6.879 7.579 7.579
angles: 120.00 90.00 90.00
Element x y z (fractional)
I 0.723 0.502 0.498
Nb 0.501 0.133 0.266
I 0.235 0.831 0.169
Te 0.802 0.000 0.000
I 0.723 0.502 0.004
I 0.723 0.996 0.498
I 0.292 0.333 0.667
Nb 0.501 0.133 0.867
Nb 0.501 0.734 0.867
I 0.235 0.831 0.661
I 0.235 0.339 0.169



No. 8
Compound: Eu2ErTaO6
Source: Alexandria
Functional: meta-GGA SCAN
Structure: PBEsol geometry

Properties
Volume, Å³/atom: 14.1
ΔE_f (raw), eV per formula unit: -33.793
Raw total energy, eV per atom: -29.55

abc: 5.839 5.839 5.839
angles: 60.00 60.00 60.00
Site moments in Bohr magnetons follow the coordinates.
Element x y z (fractional)
Eu 0.750 0.750 0.750  6.88
Ta 0.500 0.500 0.500  0.03
O 0.739 0.261 0.739  -0.03
Eu 0.250 0.250 0.250  6.88
O 0.261 0.739 0.739  -0.03
Er 0.000 0.000 0.000  0.02
O 0.261 0.261 0.739  -0.03
O 0.739 0.739 0.261  -0.03
O 0.261 0.739 0.261  -0.03
O 0.739 0.261 0.261  -0.03



No. 9
Compound: Zr5Sn3P
Source: Alexandria
Functional: meta-GGA SCAN
Structure: PBEsol geometry

Properties
ΔE_f, eV/atom: -0.9633
Volume, Å³/atom: 20.4
Raw total energy, eV per atom: -31.15

abc: 5.855 8.515 8.515
angles: 120.00 90.00 90.00
Element x y z (fractional)
Sn 0.250 0.602 0.000
Zr 0.250 0.251 0.000
Zr 0.250 0.000 0.251
Zr 0.000 0.667 0.333
Sn 0.250 0.398 0.398
P 0.000 0.000 0.000
Zr 0.750 0.749 0.000
Zr 0.500 0.667 0.333
Zr 0.250 0.749 0.749
Sn 0.750 0.602 0.602
Zr 0.000 0.333 0.667
P 0.500 0.000 0.000
Zr 0.750 0.000 0.749
Sn 0.750 0.000 0.398
Zr 0.500 0.333 0.667
Sn 0.250 0.000 0.602
Zr 0.750 0.251 0.251
Sn 0.750 0.398 0.000



No. 10
Compound: CaZr3Bi
Source: Alexandria
Functional: meta-GGA SCAN
Structure: PBEsol geometry

Properties
ΔE_f, eV/atom: 0.6930
Volume, Å³/atom: 32.1
Raw total energy, eV per atom: -35.37

abc: 5.432 5.432 5.432
angles: 90.00 90.00 90.00
Element x y z (fractional)
Ca 0.500 0.500 0.500
Zr 0.000 0.500 0.000
Zr 0.500 0.000 0.000
Zr 0.000 0.000 0.500
Bi 0.000 0.000 0.000



No. 11
Compound: InSiH11C3Br3N
Source: Alexandria
Functional: meta-GGA SCAN
Structure: PBEsol geometry

Properties
Volume, Å³/atom: 14.9
Raw total energy, eV per atom: -9.41

abc: 9.051 10.537 12.929
angles: 90.00 105.28 90.00
Element x y z (fractional)
H 0.549 0.037 0.862
In 0.023 0.853 0.303
H 0.568 0.135 0.600
In 0.977 0.147 0.697
H 0.412 0.942 0.679
C 0.536 0.216 0.644
H 0.450 0.696 0.398
Br 0.216 0.428 0.330
H 0.665 0.140 0.443
N 0.846 0.261 0.784
H 0.153 0.648 0.247
Br 0.170 0.456 0.886
H 0.451 0.537 0.638
H 0.471 0.167 0.369
Si 0.650 0.220 0.786
H 0.587 0.793 0.360
H 0.847 0.352 0.753
Si 0.650 0.280 0.286
In 0.977 0.353 0.197
Br 0.032 0.203 0.061
C 0.588 0.351 0.862
C 0.664 0.436 0.356
H 0.412 0.558 0.179
H 0.705 0.989 0.812
N 0.154 0.761 0.716
Br 0.968 0.703 0.439
H 0.413 0.207 0.640
H 0.153 0.852 0.747
H 0.529 0.667 0.131
C 0.412 0.851 0.638
C 0.588 0.149 0.362
H 0.550 0.196 0.102
In 0.023 0.647 0.803
H 0.741 0.069 0.937
H 0.847 0.148 0.253
Br 0.216 0.072 0.830
H 0.085 0.734 0.138
C 0.336 0.564 0.644
H 0.335 0.640 0.057
H 0.259 0.931 0.063
H 0.588 0.058 0.321
H 0.451 0.963 0.138
H 0.295 0.489 0.688
C 0.412 0.649 0.138
C 0.536 0.284 0.144
H 0.432 0.635 0.900
H 0.587 0.707 0.860
Br 0.968 0.797 0.939
H 0.432 0.865 0.400
Br 0.830 0.956 0.614
H 0.335 0.860 0.557
H 0.471 0.333 0.869
Br 0.032 0.297 0.561
H 0.741 0.431 0.437
H 0.588 0.442 0.821
H 0.295 0.011 0.188
H 0.915 0.266 0.862
Br 0.784 0.928 0.170
H 0.915 0.234 0.362
C 0.464 0.784 0.356
H 0.450 0.804 0.898
Br 0.784 0.572 0.670
H 0.568 0.365 0.100
Br 0.170 0.044 0.386
H 0.705 0.511 0.312
C 0.464 0.716 0.856
H 0.413 0.293 0.140
Br 0.830 0.544 0.114
H 0.529 0.833 0.631
H 0.550 0.304 0.602
Si 0.350 0.780 0.214
H 0.549 0.463 0.362
C 0.664 0.064 0.856
H 0.665 0.360 0.943
Si 0.350 0.720 0.714
N 0.846 0.239 0.284
H 0.085 0.766 0.638
H 0.259 0.569 0.563
N 0.154 0.739 0.216
C 0.336 0.936 0.144



No. 12
Compound: LiCNO
Source: Alexandria
Functional: meta-GGA SCAN
Structure: PBEsol geometry

Properties
Volume, Å³/atom: 10.6
ΔE_f (raw), eV per formula unit: -4.322
Raw total energy, eV per atom: -8.08

abc: 3.214 3.214 5.098
angles: 71.63 71.63 60.00
Element x y z (fractional)
N 0.414 0.414 0.759
C 0.497 0.497 0.508
O 0.583 0.583 0.250
Li 0.006 0.006 0.983



No. 13
Compound: InMoPb2
Source: Alexandria
Functional: meta-GGA SCAN
Structure: PBEsol geometry

Properties
ΔE_f, eV/atom: 0.7367
Volume, Å³/atom: 22.3
Raw total energy, eV per atom: -54.22

abc: 3.616 4.967 4.967
angles: 90.00 90.00 90.00
Site moments in Bohr magnetons follow the coordinates.
Element x y z (fractional)
In 0.500 0.500 0.500  -0.02
Pb 0.000 0.500 0.000  -0.05
Mo 0.500 0.000 0.000  2.16
Pb 0.000 0.000 0.500  -0.05



No. 14
Compound: ZrBiPRu2
Source: Alexandria
Functional: meta-GGA SCAN
Structure: PBEsol geometry

Properties
ΔE_f, eV/atom: 0.3568
Volume, Å³/atom: 19.5
Raw total energy, eV per atom: -37.51

abc: 4.305 4.305 5.260
angles: 90.00 90.00 90.00
Element x y z (fractional)
Ru 0.500 0.000 0.000
Ru 0.000 0.500 0.000
P 0.000 0.000 0.000
Zr 0.500 0.500 0.500
Bi 0.000 0.000 0.500



No. 15
Compound: NaCd2AsPb
Source: Alexandria
Functional: meta-GGA SCAN
Structure: PBEsol geometry

Properties
ΔE_f, eV/atom: 0.7941
Volume, Å³/atom: 28.2
Raw total energy, eV per atom: -31.41

abc: 5.049 5.049 5.536
angles: 90.00 90.00 90.00
Element x y z (fractional)
Na 0.000 0.000 0.000
As 0.500 0.500 0.500
Cd 0.500 0.000 0.000
Cd 0.000 0.500 0.000
Pb 0.000 0.000 0.500



No. 16
Compound: SrBe2Cl
Source: Alexandria
Functional: meta-GGA SCAN
Structure: PBEsol geometry

Properties
Volume, Å³/atom: 21.4
ΔE_f (raw), eV per formula unit: 0.207
Raw total energy, eV per atom: -9.69

abc: 3.856 3.856 6.356
angles: 106.97 106.97 92.18
Element x y z (fractional)
Be 0.000 0.500 0.500
Sr 0.500 0.500 0.000
Be 0.500 0.000 0.500
Cl 0.000 0.000 0.000



No. 17
Compound: Sr2AsBr
Source: Alexandria
Functional: meta-GGA SCAN
Structure: PBEsol geometry

Properties
Volume, Å³/atom: 30.7
ΔE_f (raw), eV per formula unit: -6.800
Raw total energy, eV per atom: -22.75

abc: 4.471 4.471 6.146
angles: 90.00 90.00 90.00
Element x y z (fractional)
Sr 0.500 0.500 0.000
As 0.000 0.000 0.000
Br 0.500 0.500 0.500
Sr 0.000 0.000 0.500



No. 18
Compound: LaHgTeRu2
Source: Alexandria
Functional: meta-GGA SCAN
Structure: PBEsol geometry

Properties
Volume, Å³/atom: 27.7
ΔE_f (raw), eV per formula unit: 6.433
Raw total energy, eV per atom: -42.35

abc: 4.702 4.702 6.258
angles: 90.00 90.00 90.00
Site moments in Bohr magnetons follow the coordinates.
Element x y z (fractional)
Hg 0.500 0.500 0.500  -0.01
Ru 0.500 0.000 0.000  0.90
Te 0.000 0.000 0.500  0.04
La 0.000 0.000 0.000  -0.09
Ru 0.000 0.500 0.000  0.90



No. 19
Compound: PuUN2
Source: Alexandria
Functional: meta-GGA SCAN
Structure: PBEsol geometry

Properties
Volume, Å³/atom: 13.9
ΔE_f (raw), eV per formula unit: -5.002
Raw total energy, eV per atom: -59.31

abc: 3.410 3.410 5.848
angles: 73.05 73.05 60.00
Site moments in Bohr magnetons follow the coordinates.
Element x y z (fractional)
N 0.247 0.247 0.259  -0.15
N 0.753 0.753 0.741  -0.15
U 0.500 0.500 0.500  0.96
Pu 0.000 0.000 0.000  4.64



No. 20
Compound: SiPd2PbSe
Source: Alexandria
Functional: meta-GGA SCAN
Structure: PBEsol geometry

Properties
Volume, Å³/atom: 22.0
ΔE_f (raw), eV per formula unit: 1.025
Raw total energy, eV per atom: -34.08

abc: 4.483 4.483 5.480
angles: 90.00 90.00 90.00
Element x y z (fractional)
Pd 0.500 0.000 0.000
Pd 0.000 0.500 0.000
Si 0.000 0.000 0.000
Se 0.500 0.500 0.500
Pb 0.000 0.000 0.500